# 1
First-principles (SCAN) data for a crystal of BaMg2Tc relaxed with PBEsol, as listed in the Alexandria database.

a = 3.150 Å, b = 3.877 Å, c = 8.014 Å
α = 90.00°, β = 90.00°, γ = 90.00°
Element x y z (fractional)
Ba1 0.000 0.000 0.000
Mg1 0.000 0.000 0.581
Mg2 0.500 0.500 0.368
Tc1 0.500 0.500 0.723

- relative energy among the computed polymorphs (meV per atom) = 0
- raw total energy (eV per atom) = -20.6339
- formation energy from the elements (eV/atom) = 0.51
- volume (Å³/cell) = 97.9
- space group = Pmm2 (25)

---

# 2
First-principles (SCAN) data for a crystal of BaMgTc2 relaxed with PBEsol, as listed in the Alexandria database.

a = 4.242 Å, b = 4.242 Å, c = 4.464 Å
α = 90.00°, β = 90.00°, γ = 90.00°
Element x y z (fractional)
Ba1 0.000 0.000 0.000
Mg1 0.500 0.500 0.000
Tc1 0.000 0.500 0.500
Tc2 0.500 0.000 0.500

- raw total energy (eV per atom) = -27.4498
- formation energy from the elements (eV/atom) = 1.21
- volume (Å³/cell) = 80.3
- space group = P4/mmm (123)

---

# 3
First-principles (SCAN) data for a crystal of BaMg2Tl2 relaxed with PBEsol, as listed in the Alexandria database.

a = 4.837 Å, b = 4.837 Å, c = 12.571 Å
α = 90.00°, β = 90.00°, γ = 90.00°
Element x y z (fractional)
Ba1 0.000 0.000 0.000
Ba2 0.500 0.500 0.500
Mg1 0.000 0.500 0.250
Mg2 0.000 0.500 0.750
Mg3 0.500 0.000 0.250
Mg4 0.500 0.000 0.750
Tl1 0.000 0.000 0.382
Tl2 0.000 0.000 0.618
Tl3 0.500 0.500 0.118
Tl4 0.500 0.500 0.882

- raw total energy (eV per atom) = -39.2985
- formation energy from the elements (eV/atom) = -0.46
- volume (Å³/cell) = 294.1
- space group = I4/mmm (139)

---

# 4
First-principles (SCAN) data for a crystal of BaMg4Tl relaxed with PBEsol, as listed in the Alexandria database.

a = 6.230 Å, b = 6.230 Å, c = 6.230 Å
α = 60.00°, β = 60.00°, γ = 60.00°
Element x y z (fractional)
Ba1 0.000 0.000 0.000
Mg1 0.376 0.376 0.376
Mg2 0.376 0.376 0.873
Mg3 0.376 0.873 0.376
Mg4 0.873 0.376 0.376
Tl1 0.750 0.750 0.750

- raw total energy (eV per atom) = -22.0019
- formation energy from the elements (eV/atom) = -0.03
- volume (Å³/cell) = 171.0
- space group = F-43m (216)

---

# 5
First-principles (SCAN) data for a crystal of Ba3MgTl relaxed with PBEsol, as listed in the Alexandria database.

a = 6.582 Å, b = 6.582 Å, c = 6.582 Å
α = 90.00°, β = 90.00°, γ = 90.00°
Element x y z (fractional)
Ba1 0.000 0.000 0.500
Ba2 0.000 0.500 0.000
Ba3 0.500 0.000 0.000
Mg1 0.500 0.500 0.500
Tl1 0.000 0.000 0.000

- raw total energy (eV per atom) = -39.1866
- formation energy from the elements (eV/atom) = 0.01
- volume (Å³/cell) = 285.2
- space group = Pm-3m (221)

---

# 6
First-principles (SCAN) data for a crystal of BaMg3W relaxed with PBEsol, as listed in the Alexandria database.

a = 5.317 Å, b = 5.317 Å, c = 5.317 Å
α = 90.00°, β = 90.00°, γ = 90.00°
Element x y z (fractional)
Ba1 0.000 0.000 0.000
Mg1 0.000 0.500 0.500
Mg2 0.500 0.000 0.500
Mg3 0.500 0.500 0.000
W1 0.500 0.500 0.500

- raw total energy (eV per atom) = -24.0465
- formation energy from the elements (eV/atom) = 0.79
- volume (Å³/cell) = 150.3
- space group = Pm-3m (221)

---

# 7
First-principles (SCAN) data for a crystal of BaMgW relaxed with PBEsol, as listed in the Alexandria database.

a = 2.987 Å, b = 2.987 Å, c = 16.002 Å
α = 90.00°, β = 90.00°, γ = 90.00°
Element x y z (fractional)
Ba1 0.000 0.000 0.000
Ba2 0.500 0.500 0.500
Mg1 0.000 0.000 0.298
Mg2 0.500 0.500 0.798
W1 0.000 0.000 0.673
W2 0.500 0.500 0.173

- raw total energy (eV per atom) = -37.0496
- formation energy from the elements (eV/atom) = 1.02
- volume (Å³/cell) = 142.7
- space group = I4mm (107)

---

# 8
First-principles (SCAN) data for a crystal of Ba3MgW relaxed with PBEsol, as listed in the Alexandria database.

a = 5.967 Å, b = 5.967 Å, c = 5.967 Å
α = 90.00°, β = 90.00°, γ = 90.00°
Element x y z (fractional)
Ba1 0.000 0.000 0.500
Ba2 0.000 0.500 0.000
Ba3 0.500 0.000 0.000
Mg1 0.500 0.500 0.500
W1 0.000 0.000 0.000

- raw total energy (eV per atom) = -37.7148
- formation energy from the elements (eV/atom) = 0.95
- volume (Å³/cell) = 212.5
- space group = Pm-3m (221)

---

# 9
First-principles (SCAN) data for a crystal of BaYMg2 relaxed with PBEsol, as listed in the Alexandria database.

a = 3.920 Å, b = 3.920 Å, c = 8.335 Å
α = 90.00°, β = 90.00°, γ = 90.00°
Element x y z (fractional)
Ba1 0.000 0.000 0.000
Y1 0.000 0.000 0.500
Mg1 0.500 0.500 0.293
Mg2 0.500 0.500 0.707

- raw total energy (eV per atom) = -19.3885
- formation energy from the elements (eV/atom) = -0.05
- volume (Å³/cell) = 128.0
- space group = P4/mmm (123)

---

# 10
First-principles (SCAN) data for a crystal of BaY2Mg relaxed with PBEsol, as listed in the Alexandria database.

a = 5.018 Å, b = 5.018 Å, c = 5.275 Å
α = 90.00°, β = 90.00°, γ = 90.00°
Element x y z (fractional)
Ba1 0.000 0.000 0.000
Y1 0.000 0.500 0.500
Y2 0.500 0.000 0.500
Mg1 0.500 0.500 0.000

- raw total energy (eV per atom) = -24.8159
- formation energy from the elements (eV/atom) = 0.24
- volume (Å³/cell) = 132.9
- space group = P4/mmm (123)

---

# 11
First-principles (SCAN) data for a crystal of BaY2Mg relaxed with PBEsol, as listed in the Alexandria database.

a = 7.032 Å, b = 12.178 Å, c = 3.460 Å
α = 90.00°, β = 116.22°, γ = 90.00°
Element x y z (fractional)
Ba1 0.000 0.000 0.000
Ba2 0.500 0.500 0.000
Y1 0.250 0.250 0.500
Y2 0.250 0.750 0.500
Y3 0.750 0.250 0.500
Y4 0.750 0.750 0.500
Mg1 0.000 0.500 0.000
Mg2 0.500 0.000 0.000

- raw total energy (eV per atom) = -24.8232
- formation energy from the elements (eV/atom) = 0.23
- volume (Å³/cell) = 265.7
- space group = C2/m (12)

---

# 12
First-principles (SCAN) data for a crystal of BaMgZn2 relaxed with PBEsol, as listed in the Alexandria database.

a = 4.311 Å, b = 4.034 Å, c = 12.307 Å
α = 90.00°, β = 90.00°, γ = 90.00°
Element x y z (fractional)
Ba1 0.000 0.000 0.000
Ba2 0.000 0.500 0.500
Mg1 0.500 0.000 0.286
Mg2 0.500 0.500 0.786
Zn1 0.000 0.000 0.730
Zn2 0.000 0.500 0.230
Zn3 0.500 0.000 0.629
Zn4 0.500 0.500 0.129

- raw total energy (eV per atom) = -18.0249
- formation energy from the elements (eV/atom) = -0.14
- volume (Å³/cell) = 214.0
- space group = Amm2 (38)

---

# 13
First-principles (SCAN) data for a crystal of Ba2MgZn relaxed with PBEsol, as listed in the Alexandria database.

a = 4.103 Å, b = 4.103 Å, c = 8.459 Å
α = 90.00°, β = 90.00°, γ = 90.00°
Element x y z (fractional)
Ba1 0.000 0.000 0.226
Ba2 0.000 0.000 0.774
Mg1 0.500 0.500 0.500
Zn1 0.500 0.500 0.000

- raw total energy (eV per atom) = -24.5119
- formation energy from the elements (eV/atom) = -0.11
- volume (Å³/cell) = 142.4
- space group = P4/mmm (123)

---

# 14
First-principles (SCAN) data for a crystal of BaMgZn relaxed with PBEsol, as listed in the Alexandria database.

a = 5.040 Å, b = 5.040 Å, c = 4.151 Å
α = 90.00°, β = 90.00°, γ = 120.00°
Element x y z (fractional)
Ba1 0.000 0.000 0.000
Mg1 0.667 0.333 0.500
Zn1 0.333 0.667 0.500

- raw total energy (eV per atom) = -19.4149
- formation energy from the elements (eV/atom) = -0.07
- volume (Å³/cell) = 91.3
- space group = P-6m2 (187)

---

# 15
First-principles (SCAN) data for a crystal of BaMgZn2 relaxed with PBEsol, as listed in the Alexandria database.

a = 7.716 Å, b = 4.456 Å, c = 6.711 Å
α = 90.00°, β = 112.71°, γ = 90.00°
Element x y z (fractional)
Ba1 0.000 0.000 0.000
Ba2 0.500 0.500 0.000
Mg1 0.190 0.000 0.569
Mg2 0.690 0.500 0.569
Zn1 0.298 0.500 0.394
Zn2 0.468 0.000 0.405
Zn3 0.798 0.000 0.394
Zn4 0.968 0.500 0.405

- raw total energy (eV per atom) = -18.0841
- formation energy from the elements (eV/atom) = -0.20
- volume (Å³/cell) = 212.8
- space group = Cm (8)

---

# 16
First-principles (SCAN) data for a crystal of BaMgZn2 relaxed with PBEsol, as listed in the Alexandria database.

a = 8.007 Å, b = 4.617 Å, c = 6.384 Å
α = 90.00°, β = 114.48°, γ = 90.00°
Element x y z (fractional)
Ba1 0.000 0.000 0.000
Ba2 0.500 0.500 0.000
Mg1 0.000 0.500 0.500
Mg2 0.500 0.000 0.500
Zn1 0.192 0.000 0.575
Zn2 0.308 0.500 0.425
Zn3 0.692 0.500 0.575
Zn4 0.808 0.000 0.425

- raw total energy (eV per atom) = -18.0906
- formation energy from the elements (eV/atom) = -0.20
- volume (Å³/cell) = 214.8
- space group = C2/m (12)

---

# 17
First-principles (SCAN) data for a crystal of BaMg2Zn2 relaxed with PBEsol, as listed in the Alexandria database.

a = 4.548 Å, b = 4.548 Å, c = 12.211 Å
α = 90.00°, β = 90.00°, γ = 90.00°
Element x y z (fractional)
Ba1 0.000 0.000 0.000
Ba2 0.500 0.500 0.500
Mg1 0.000 0.500 0.250
Mg2 0.000 0.500 0.750
Mg3 0.500 0.000 0.250
Mg4 0.500 0.000 0.750
Zn1 0.000 0.000 0.392
Zn2 0.000 0.000 0.608
Zn3 0.500 0.500 0.108
Zn4 0.500 0.500 0.892

- raw total energy (eV per atom) = -15.4851
- formation energy from the elements (eV/atom) = -0.18
- volume (Å³/cell) = 252.5
- space group = I4/mmm (139)

---

# 18
First-principles (SCAN) data for a crystal of Ba2MgZn relaxed with PBEsol, as listed in the Alexandria database.

a = 3.936 Å, b = 5.896 Å, c = 11.888 Å
α = 90.00°, β = 90.00°, γ = 90.00°
Element x y z (fractional)
Ba1 0.000 0.000 0.000
Ba2 0.000 0.500 0.189
Ba3 0.500 0.000 0.689
Ba4 0.500 0.500 0.500
Mg1 0.000 0.500 0.787
Mg2 0.500 0.000 0.287
Zn1 0.000 0.000 0.453
Zn2 0.500 0.500 0.953

- raw total energy (eV per atom) = -24.4904
- formation energy from the elements (eV/atom) = -0.09
- volume (Å³/cell) = 275.9
- space group = Imm2 (44)

---

# 19
First-principles (SCAN) data for a crystal of Ba3MgZn relaxed with PBEsol, as listed in the Alexandria database.

a = 6.289 Å, b = 6.289 Å, c = 6.289 Å
α = 90.00°, β = 90.00°, γ = 90.00°
Element x y z (fractional)
Ba1 0.000 0.000 0.500
Ba2 0.000 0.500 0.000
Ba3 0.500 0.000 0.000
Mg1 0.500 0.500 0.500
Zn1 0.000 0.000 0.000

- raw total energy (eV per atom) = -27.3069
- formation energy from the elements (eV/atom) = 0.12
- volume (Å³/cell) = 248.8
- space group = Pm-3m (221)

---

# 20
First-principles (SCAN) data for a crystal of BaMgZr2 relaxed with PBEsol, as listed in the Alexandria database.

a = 3.392 Å, b = 5.481 Å, c = 11.488 Å
α = 90.00°, β = 90.00°, γ = 90.00°
Element x y z (fractional)
Ba1 0.000 0.000 0.000
Ba2 0.500 0.500 0.500
Mg1 0.000 0.000 0.500
Mg2 0.500 0.500 0.000
Zr1 0.000 0.500 0.227
Zr2 0.000 0.500 0.773
Zr3 0.500 0.000 0.273
Zr4 0.500 0.000 0.727

- raw total energy (eV per atom) = -26.0347
- formation energy from the elements (eV/atom) = 0.45
- volume (Å³/cell) = 213.6
- space group = Immm (71)